Here is a geometry-optimized Tl2PtPb structure from the Alexandria database. Energies are from PBE-GGA.

POSCAR file:
```
Tl2PtPb
1.0
-1.706 2.358 6.748
1.706 -2.358 6.748
1.706 2.358 -6.748
Tl Pt Pb
2 1 1
direct
0.000 0.000 0.000
0.673 0.173 0.500
0.478 0.478 0.000
0.308 0.808 0.500
```

Properties
**Calculated formation energy**: 0.005 eV per atom
**Uncorrected energy**: -3.62 eV/atom